No. 1
Material: NaCo2ReI
Method: DFT, PBE-GGA
State: relaxed

Theoretical density, g cm⁻³: 7.30
E_form (uncorrected), eV per atom: 2.415

a = 4.5326 Å, b = 4.5326 Å, c = 5.0275 Å
α = 90.00°, β = 90.00°, γ = 90.00°
Closest atoms and distances in Å follow each position.
Space group P4/mmm (No. 123)
Inequivalent atoms, fractional coordinates:
Na (0.0000, 0.0000, 0.0000)  4 Co 2.27, 2 I 2.51
Co (0.0000, 0.5000, 0.0000)  2 Na 2.27
Re (0.5000, 0.5000, 0.5000)  4 I 3.21, 8 Co 3.38
I (0.0000, 0.0000, 0.5000)  2 Na 2.51



No. 2
Material: NaCoRu2I
Method: DFT, PBE-GGA
State: relaxed

Theoretical density, g cm⁻³: 6.36
E_form (uncorrected), eV per atom: 1.117

a = 4.4991 Å, b = 4.4991 Å, c = 5.3020 Å
α = 90.00°, β = 90.00°, γ = 90.00°
Closest atoms and distances in Å follow each position.
Space group P4/mmm (No. 123)
Inequivalent atoms, fractional coordinates:
Na (0.0000, 0.0000, 0.0000)  4 I 3.18, 8 Ru 3.48
Co (0.5000, 0.5000, 0.5000)  4 Ru 2.25
Ru (0.0000, 0.5000, 0.5000)  2 Co 2.25
I (0.5000, 0.5000, 0.0000)  2 Co 2.65



No. 3
Material: NaCoSbI2
Method: DFT, PBE-GGA
State: relaxed

Distance to the lowest polymorph of the same formula, meV per atom: 0
Theoretical density, g cm⁻³: 4.93
E_form (uncorrected), eV per atom: -0.079

a = 5.7151 Å, b = 5.7151 Å, c = 4.7144 Å
α = 90.00°, β = 90.00°, γ = 90.00°
Closest atoms and distances in Å follow each position.
Space group P4/mmm (No. 123)
Inequivalent atoms, fractional coordinates:
Na (0.0000, 0.0000, 0.0000)  8 I 3.70, 4 Sb 4.04
Co (0.5000, 0.5000, 0.5000)  2 Sb 2.36
Sb (0.5000, 0.5000, 0.0000)  2 Co 2.36
I (0.0000, 0.5000, 0.5000)  2 Co 2.86



No. 4
Material: NaCoSbI2
Method: DFT, PBE-GGA
State: relaxed

Distance to the lowest polymorph of the same formula, meV per atom: 1035
Theoretical density, g cm⁻³: 4.00
E_form (uncorrected), eV per atom: 0.957

a = 5.7023 Å, b = 5.7023 Å, c = 5.8435 Å
α = 90.00°, β = 90.00°, γ = 90.00°
Closest atoms and distances in Å follow each position.
Space group P4/mmm (No. 123)
Inequivalent atoms, fractional coordinates:
Na (0.0000, 0.0000, 0.0000)  4 I 2.85, 2 Sb 2.92
Co (0.5000, 0.5000, 0.5000)  4 Sb 4.03, 8 I 4.08
Sb (0.0000, 0.0000, 0.5000)  2 Na 2.92
I (0.0000, 0.5000, 0.0000)  2 Na 2.85



| no. | DOS at the Fermi energy (states/eV/f.u.) |
| --- | --- |
| 1 | 9.94 |
| 2 | 8.23 |
| 3 | 1.03 |
| 4 | 10.46 |